A plane-wave DFT calculation with GGA-PBE was carried out for a geometry-optimized PSeBr2 structure.

Lattice parameters (Å, degrees): 4.620 4.620 8.152 90.00 90.00 90.00
Space group I4/mmm (No. 139)
Inequivalent atoms, fractional coordinates:
P: 0.000 0.000 0.000 x2
Se: 0.000 0.000 0.500 x2
Br: 0.000 0.500 0.250 x4

## Properties
**Size of the total moment**: 0.0 μB per formula unit
**Formation energy from raw total energies**: 3.68 eV per formula unit
**Total DFT energy (no corrections)**: -2.1399 eV per atom